Entry from OQMD via LeMat-Bulk: Nd3Si4Pd2Au2 after structural relaxation (PBE).

Calculated values
Size of the total moment = 0.0 μB per formula unit
Excess energy over the best structure of this formula in the dataset = 0.0000 eV per atom

a = 12.733 Å, b = 12.733 Å, c = 12.733 Å
α = 160.82°, β = 160.69°, γ = 27.35°
Atoms (fractional coordinates):
Nd 0.000 0.000 0.000
Nd 0.351 0.851 0.500
Nd 0.649 0.149 0.500
Si 0.198 0.698 0.500
Si 0.452 0.452 0.000
Si 0.548 0.548 0.000
Si 0.802 0.302 0.500
Pd 0.249 0.249 0.000
Pd 0.751 0.751 0.000
Au 0.098 0.598 0.500
Au 0.902 0.402 0.500